i.
The following is a PBE calculation of a geometry-optimized Zr2SbPt2 structure, from Alexandria via LeMat-Bulk.

Output
As for the density of states at the Fermi level: 2.12 states/eV/f.u. Its volume is 201 Å³ per cell. As for the space-group type: P4/mbm (127). For the total moment, the calculation gives 0.000 μB/atom.

Cell lengths 7.4392, 7.4392, 3.6374 Å; angles 90.00, 90.00, 90.00 degrees
Fractional positions:
1 Zr 0.1667 0.3333 0.0000
2 Zr 0.3333 0.8333 0.0000
3 Zr 0.6667 0.1667 0.0000
4 Zr 0.8333 0.6667 0.0000
5 Sb 0.0000 0.0000 0.5000
6 Sb 0.5000 0.5000 0.5000
7 Pt 0.1296 0.6296 0.5000
8 Pt 0.3704 0.1296 0.5000
9 Pt 0.6296 0.8704 0.5000
10 Pt 0.8704 0.3704 0.5000

ii.
The following is a PBE calculation of a geometry-optimized Zr2SbPt2 structure, from Alexandria via LeMat-Bulk.

Output
As for the density of states at the Fermi level: 3.07 states/eV/f.u. Its volume is 208 Å³ per cell. As for the space-group type: P4/mbm (127). For the total moment, the calculation gives 0.000 μB/atom.

Cell lengths 7.8587, 7.8587, 3.3671 Å; angles 90.00, 90.00, 90.00 degrees
Fractional positions:
1 Zr 0.1623 0.3377 0.0000
2 Zr 0.3377 0.8377 0.0000
3 Zr 0.6623 0.1623 0.0000
4 Zr 0.8377 0.6623 0.0000
5 Sb 0.0000 0.0000 0.0000
6 Sb 0.5000 0.5000 0.0000
7 Pt 0.1289 0.6289 0.5000
8 Pt 0.3711 0.1289 0.5000
9 Pt 0.6289 0.8711 0.5000
10 Pt 0.8711 0.3711 0.5000

Winner for stability: i

i.
The following is a PBE calculation of a geometry-optimized ZrSb3Pt structure, from Alexandria via LeMat-Bulk.

Output
As for the density of states at the Fermi level: 5.94 states/eV/f.u. Its volume is 161 Å³ per cell. As for the space-group type: Pm-3m (221). For the total moment, the calculation gives 0.000 μB/atom.

Cell lengths 5.4381, 5.4381, 5.4381 Å; angles 90.00, 90.00, 90.00 degrees
Fractional positions:
1 Zr 0.0000 0.0000 0.0000
2 Sb 0.0000 0.0000 0.5000
3 Sb 0.0000 0.5000 0.0000
4 Sb 0.5000 0.0000 0.0000
5 Pt 0.5000 0.5000 0.5000

ii.
The following is a PBE calculation of a geometry-optimized ZrSb3Pt structure, from Alexandria via LeMat-Bulk.

Output
As for the density of states at the Fermi level: 4.16 states/eV/f.u. Its volume is 141 Å³ per cell. As for the space-group type: Pm-3m (221). For the total moment, the calculation gives 0.000 μB/atom.

Cell lengths 5.2066, 5.2066, 5.2066 Å; angles 90.00, 90.00, 90.00 degrees
Fractional positions:
1 Zr 0.0000 0.0000 0.0000
2 Sb 0.0000 0.5000 0.5000
3 Sb 0.5000 0.0000 0.5000
4 Sb 0.5000 0.5000 0.0000
5 Pt 0.5000 0.5000 0.5000

Winner for stability: ii

i.
The following is a PBE calculation of a geometry-optimized Sc5Pt3 structure, from Alexandria via LeMat-Bulk.

Output
As for the density of states at the Fermi level: 11.08 states/eV/f.u. Its volume is 315 Å³ per cell. As for the space-group type: I4/mcm (140). For the total moment, the calculation gives 0.134 μB/atom.

Cell lengths 8.0329, 8.0329, 8.0329 Å; angles 96.84, 96.84, 139.63 degrees
Fractional positions:
1 Sc 0.0824 0.7871 0.8694
2 Sc 0.2129 0.0824 0.2953
3 Sc 0.2500 0.7500 0.5000
4 Sc 0.2871 0.5824 0.8694
5 Sc 0.4176 0.2871 0.7047
6 Sc 0.5824 0.7129 0.2953
7 Sc 0.7129 0.4176 0.1306
8 Sc 0.7500 0.2500 0.5000
9 Sc 0.7871 0.9176 0.7047
10 Sc 0.9176 0.2129 0.1306
11 Pt 0.1600 0.3400 0.5000
12 Pt 0.2500 0.2500 0.0000
13 Pt 0.3400 0.8400 0.1800
14 Pt 0.6600 0.1600 0.8200
15 Pt 0.7500 0.7500 0.0000
16 Pt 0.8400 0.6600 0.5000

ii.
The following is a PBE calculation of a geometry-optimized Sc5Pt3 structure, from Alexandria via LeMat-Bulk.

Output
As for the density of states at the Fermi level: 6.75 states/eV/f.u. Its volume is 155 Å³ per cell. As for the space-group type: Cmmm (65). For the total moment, the calculation gives 0.000 μB/atom.

Cell lengths 5.9413, 5.9413, 4.6234 Å; angles 90.00, 90.00, 108.16 degrees
Fractional positions:
1 Sc 0.0000 0.0000 0.0000
2 Sc 0.0000 0.5000 0.0000
3 Sc 0.2817 0.2817 0.5000
4 Sc 0.5000 0.0000 0.0000
5 Sc 0.7183 0.7183 0.5000
6 Pt 0.1978 0.8022 0.5000
7 Pt 0.5000 0.5000 0.0000
8 Pt 0.8022 0.1978 0.5000

iii.
The following is a PBE calculation of a geometry-optimized Sc5Pt3 structure, from Alexandria via LeMat-Bulk.

Output
As for the density of states at the Fermi level: 6.72 states/eV/f.u. Its volume is 314 Å³ per cell. As for the space-group type: P6_3/mcm (193). For the total moment, the calculation gives 0.000 μB/atom.

Cell lengths 8.0335, 8.0335, 5.6150 Å; angles 90.00, 90.00, 120.00 degrees
Fractional positions:
1 Sc 0.0000 0.2416 0.2500
2 Sc 0.0000 0.7584 0.7500
3 Sc 0.2416 0.0000 0.2500
4 Sc 0.2416 0.2416 0.7500
5 Sc 0.3333 0.6667 0.0000
6 Sc 0.3333 0.6667 0.5000
7 Sc 0.6667 0.3333 0.0000
8 Sc 0.6667 0.3333 0.5000
9 Sc 0.7584 0.0000 0.7500
10 Sc 0.7584 0.7584 0.2500
11 Pt 0.0000 0.3964 0.7500
12 Pt 0.0000 0.6036 0.2500
13 Pt 0.3964 0.0000 0.7500
14 Pt 0.3964 0.3964 0.2500
15 Pt 0.6036 0.0000 0.2500
16 Pt 0.6036 0.6036 0.7500

iv.
The following is a PBE calculation of a geometry-optimized Sc5Pt3 structure, from Alexandria via LeMat-Bulk.

Output
As for the density of states at the Fermi level: 10.48 states/eV/f.u. Its volume is 321 Å³ per cell. As for the space-group type: P-1 (2). For the total moment, the calculation gives 0.000 μB/atom.

Cell lengths 5.7156, 7.6641, 8.0589 Å; angles 84.50, 69.66, 75.57 degrees
Fractional positions:
1 Sc 0.0319 0.2013 0.1295
2 Sc 0.1837 0.3682 0.7101
3 Sc 0.2515 0.9915 0.4988
4 Sc 0.3434 0.7984 0.1276
5 Sc 0.3984 0.3699 0.2923
6 Sc 0.6016 0.6301 0.7077
7 Sc 0.6566 0.2016 0.8724
8 Sc 0.7485 0.0085 0.5012
9 Sc 0.8163 0.6318 0.2899
10 Sc 0.9681 0.7987 0.8705
11 Pt 0.0965 0.6811 0.5015
12 Pt 0.2507 0.5003 0.9994
13 Pt 0.3436 0.9990 0.8142
14 Pt 0.6564 0.0010 0.1858
15 Pt 0.7493 0.4997 0.0006
16 Pt 0.9035 0.3189 0.4985

Winner for stability: iii

i.
The following is a PBE calculation of a geometry-optimized Sc5Pt4 structure, from Alexandria via LeMat-Bulk.

Output
As for the density of states at the Fermi level: 6.69 states/eV/f.u. Its volume is 166 Å³ per cell. As for the space-group type: I4/mmm (139). For the total moment, the calculation gives 0.000 μB/atom.

Cell lengths 6.4414, 6.4414, 6.4414 Å; angles 97.27, 97.27, 138.32 degrees
Fractional positions:
1 Sc 0.0000 0.0000 0.0000
2 Sc 0.3218 0.3218 0.6436
3 Sc 0.3218 0.6782 0.0000
4 Sc 0.6782 0.3218 0.0000
5 Sc 0.6782 0.6782 0.3564
6 Pt 0.0000 0.3276 0.3276
7 Pt 0.0000 0.6724 0.6724
8 Pt 0.3276 0.0000 0.3276
9 Pt 0.6724 0.0000 0.6724

ii.
The following is a PBE calculation of a geometry-optimized Sc5Pt4 structure, from Alexandria via LeMat-Bulk.

Output
As for the density of states at the Fermi level: 8.05 states/eV/f.u. Its volume is 339 Å³ per cell. As for the space-group type: P6_3/mcm (193). For the total moment, the calculation gives 0.000 μB/atom.

Cell lengths 8.3056, 8.3056, 5.6780 Å; angles 90.00, 90.00, 120.00 degrees
Fractional positions:
1 Sc 0.0000 0.2842 0.2500
2 Sc 0.0000 0.7158 0.7500
3 Sc 0.2842 0.0000 0.2500
4 Sc 0.2842 0.2842 0.7500
5 Sc 0.3333 0.6667 0.0000
6 Sc 0.3333 0.6667 0.5000
7 Sc 0.6667 0.3333 0.0000
8 Sc 0.6667 0.3333 0.5000
9 Sc 0.7158 0.0000 0.7500
10 Sc 0.7158 0.7158 0.2500
11 Pt 0.0000 0.0000 0.0000
12 Pt 0.0000 0.0000 0.5000
13 Pt 0.0000 0.3923 0.7500
14 Pt 0.0000 0.6077 0.2500
15 Pt 0.3923 0.0000 0.7500
16 Pt 0.3923 0.3923 0.2500
17 Pt 0.6077 0.0000 0.2500
18 Pt 0.6077 0.6077 0.7500

Winner for stability: ii

i.
The following is a PBE calculation of a geometry-optimized ScPt4 structure, from Alexandria via LeMat-Bulk.

Output
As for the density of states at the Fermi level: 3.47 states/eV/f.u. Its volume is 164 Å³ per cell. As for the space-group type: Imma (74). For the total moment, the calculation gives 0.000 μB/atom.

Cell lengths 7.8524, 7.8524, 7.8524 Å; angles 149.38, 138.13, 52.75 degrees
Fractional positions:
1 Sc 0.3556 0.1056 0.2500
2 Sc 0.6444 0.8944 0.7500
3 Pt 0.0000 0.5000 0.5000
4 Pt 0.1497 0.8997 0.2500
5 Pt 0.1868 0.6922 0.4946
6 Pt 0.3025 0.3078 0.9946
7 Pt 0.5000 0.5000 0.0000
8 Pt 0.6975 0.6922 0.0054
9 Pt 0.8132 0.3078 0.5054
10 Pt 0.8503 0.1003 0.7500

ii.
The following is a PBE calculation of a geometry-optimized ScPt4 structure, from Alexandria via LeMat-Bulk.

Output
As for the density of states at the Fermi level: 6.58 states/eV/f.u. Its volume is 91 Å³ per cell. As for the space-group type: I4/mmm (139). For the total moment, the calculation gives 0.000 μB/atom.

Cell lengths 7.0647, 7.0647, 7.0647 Å; angles 149.40, 149.40, 43.83 degrees
Fractional positions:
1 Sc 0.0000 0.0000 0.0000
2 Pt 0.2500 0.7500 0.5000
3 Pt 0.4037 0.4037 0.0000
4 Pt 0.5963 0.5963 0.0000
5 Pt 0.7500 0.2500 0.5000

Winner for stability: i